# Ag2WBr6, optimized geometry, DFT GGA-PBE
data_Ag2WBr6
_chemical_formula_sum 'Ag4 W2 Br12'
_cell_length_a 7.103
_cell_length_b 6.513
_cell_length_c 11.698
_cell_angle_alpha 90.00
_cell_angle_beta 89.99
_cell_angle_gamma 90.00
_space_group_name_H-M_alt 'P 1'
_space_group_IT_number 1
loop_
_space_group_symop_operation_xyz
'x,y,z'
loop_
_atom_site_label
_atom_site_fract_x
_atom_site_fract_y
_atom_site_fract_z
_atom_site_occupancy
Ag1 0.000 0.500 0.820 1
Ag2 0.500 0.000 0.680 1
Ag3 0.500 0.000 0.320 1
Ag4 0.000 0.500 0.180 1
W1 0.500 0.500 0.000 1
W2 0.000 0.000 0.500 1
Br1 0.845 0.777 0.347 1
Br2 0.844 0.776 0.653 1
Br3 0.795 0.727 0.000 1
Br4 0.705 0.227 0.500 1
Br5 0.656 0.276 0.847 1
Br6 0.655 0.277 0.153 1
Br7 0.155 0.223 0.653 1
Br8 0.156 0.224 0.347 1
Br9 0.205 0.273 0.000 1
Br10 0.295 0.773 0.500 1
Br11 0.344 0.724 0.153 1
Br12 0.345 0.723 0.847 1
# Calculated total energy, eV/atom: -3.530
# Uncorrected formation energy, meV/atom: -342
# DOS(E_F), states/eV per cell: 11.516
# Size of the total moment, μB/f.u.: 2.0